## ScP3Rh (PBEsol)

Data for a geometry-optimized ScP3Rh structure.

a b c (Å): 4.7111 4.7111 4.7111
angles (deg): 90.00 90.00 90.00
Last column: nearest neighbours and their distance in Å.
Fractional coordinates of all 5 atoms:
Sc (0.0000, 0.0000, 0.0000)  6 P 2.36
P (0.0000, 0.0000, 0.5000)  2 Sc 2.36
P (0.0000, 0.5000, 0.0000)  2 Sc 2.36
P (0.5000, 0.0000, 0.0000)  2 Sc 2.36
Rh (0.5000, 0.5000, 0.5000)  12 P 3.33

## Properties
Formation energy from the elements: 476 kJ/mol of formula units
Magnetic moment: 0.00 μB per cell

***

## CsZr2PH (PBEsol)

Data for a geometry-optimized CsZr2PH structure.

a b c (Å): 4.8816 4.8816 7.1155
angles (deg): 90.00 90.00 90.00
Last column: nearest neighbours and their distance in Å.
Fractional coordinates of all 5 atoms:
Cs (0.0000, 0.0000, 0.0000)  4 H 3.45, 2 P 3.56
Zr (0.0000, 0.5000, 0.5000)  2 P 2.44
Zr (0.5000, 0.0000, 0.5000)  2 P 2.44
P (0.0000, 0.0000, 0.5000)  4 Zr 2.44
H (0.5000, 0.5000, 0.0000)  4 Cs 3.45

## Properties
Energy: -25.06 eV/f.u.
Magnetic moment: 2.43 μB per cell

***

## Cr3Ir (PBEsol)

Data for a geometry-optimized Cr3Ir structure.

a b c (Å): 4.5903 4.5903 4.5903
angles (deg): 90.00 90.00 90.00
Last column: nearest neighbours and their distance in Å.
Fractional coordinates of all 8 atoms:
Cr (0.0000, 0.2500, 0.5000)  2 Cr 2.30, 4 Ir 2.57
Cr (0.0000, 0.7500, 0.5000)  2 Cr 2.30, 4 Ir 2.57
Cr (0.2500, 0.5000, 0.0000)  2 Cr 2.30, 4 Ir 2.57
Cr (0.5000, 0.0000, 0.2500)  2 Cr 2.30, 4 Ir 2.57
Cr (0.5000, 0.0000, 0.7500)  2 Cr 2.30, 4 Ir 2.57
Cr (0.7500, 0.5000, 0.0000)  2 Cr 2.30, 4 Ir 2.57
Ir (0.0000, 0.0000, 0.0000)  12 Cr 2.57
Ir (0.5000, 0.5000, 0.5000)  12 Cr 2.57

## Properties
Formation energy from the elements: -27 kJ/mol of formula units
Magnetic moment: 0.00 μB per cell

***

## WCF2 (PBEsol)

Data for a geometry-optimized WCF2 structure.

a b c (Å): 8.0615 8.0615 8.0615
angles (deg): 157.79 157.79 31.62
Last column: nearest neighbours and their distance in Å.
Fractional coordinates of all 8 atoms:
W (0.0000, 0.0000, 0.0000)  4 C 2.20, 4 F 2.21
W (0.7500, 0.2500, 0.5000)  4 C 2.20, 4 F 2.21
C (0.2500, 0.7500, 0.5000)  4 W 2.20, 4 F 2.25
C (0.5000, 0.5000, 0.0000)  4 W 2.20, 4 F 2.25
F (0.1042, 0.6250, 0.9792)  4 F 2.11-2.29, 2 W 2.21, 2 C 2.25
F (0.3750, 0.3542, 0.4792)  4 F 2.11-2.29, 2 W 2.21, 2 C 2.25
F (0.6458, 0.1250, 0.0208)  4 F 2.11-2.29, 2 W 2.21, 2 C 2.25
F (0.8750, 0.8958, 0.5208)  4 F 2.11-2.29, 2 W 2.21, 2 C 2.25

## Properties
E above lowest polymorph: 0 meV per atom
Magnetic moment: 0.00 μB per cell
Formation energy without anion corrections: -97 kJ/mol of formula units

***

## RbLiHPd2 (PBEsol)

Data for a geometry-optimized RbLiHPd2 structure.

a b c (Å): 5.1904 5.1904 4.5601
angles (deg): 90.00 90.00 90.00
Last column: nearest neighbours and their distance in Å.
Fractional coordinates of all 5 atoms:
Rb (0.0000, 0.0000, 0.0000)  2 H 2.28
Li (0.5000, 0.5000, 0.5000)  8 Pd 3.45, 4 H 3.67
H (0.0000, 0.0000, 0.5000)  2 Rb 2.28
Pd (0.0000, 0.5000, 0.0000)  2 Rb 2.60
Pd (0.5000, 0.0000, 0.0000)  2 Rb 2.60

## Properties
Energy: -12.03 eV/f.u.
Magnetic moment: 0.31 μB per cell

***

## Cr3AsN (PBEsol)

Data for a geometry-optimized Cr3AsN structure.

a b c (Å): 5.4211 5.4211 5.4211
angles (deg): 121.97 121.97 86.62
Last column: nearest neighbours and their distance in Å.
Fractional coordinates of all 10 atoms:
Cr (0.1789, 0.6789, 0.8577)  2 N 1.93
Cr (0.2500, 0.2500, 0.0000)  2 N 1.97
Cr (0.3211, 0.1789, 0.5000)  2 N 1.93
Cr (0.6789, 0.8211, 0.5000)  2 N 1.93
Cr (0.7500, 0.7500, 0.0000)  2 N 1.97
Cr (0.8211, 0.3211, 0.1423)  2 N 1.93
As (0.2500, 0.7500, 0.5000)  8 Cr 2.38-2.63
As (0.7500, 0.2500, 0.5000)  8 Cr 2.38-2.63
N (0.0000, 0.0000, 0.0000)  6 Cr 1.93-1.97
N (0.5000, 0.5000, 0.0000)  6 Cr 1.93-1.97

## Properties
E above lowest polymorph: 0 meV per atom
Magnetic moment: 1.13 μB per cell
Formation energy without anion corrections: -199 kJ/mol of formula units

***

## AlMoPt2 (PBEsol)

Data for a geometry-optimized AlMoPt2 structure.

a b c (Å): 4.7275 4.7275 4.7275
angles (deg): 131.02 131.02 71.78
Last column: nearest neighbours and their distance in Å.
Fractional coordinates of all 4 atoms:
Al (0.0000, 0.0000, 0.0000)  4 Mo 2.74, 8 Pt 2.74-2.77
Mo (0.7500, 0.2500, 0.5000)  4 Al 2.74, 8 Pt 2.74-2.77
Pt (0.2500, 0.7500, 0.5000)  4 Al 2.74, 4 Pt 2.74, 4 Mo 2.77
Pt (0.5000, 0.5000, 0.0000)  4 Mo 2.74, 4 Pt 2.74, 4 Al 2.77

## Properties
Formation energy from the elements: -155 kJ/mol of formula units
Magnetic moment: 0.00 μB per cell

***

## KMn2In (PBEsol)

Data for a geometry-optimized KMn2In structure.

a b c (Å): 10.6270 10.6270 10.6270
angles (deg): 16.60 16.60 16.60
Last column: nearest neighbours and their distance in Å.
Fractional coordinates of all 4 atoms:
K (0.0000, 0.0000, 0.0000)  6 K 3.07
Mn (0.2384, 0.2384, 0.2384)  3 In 2.87, 6 Mn 3.07
Mn (0.7616, 0.7616, 0.7616)  3 In 2.87, 6 Mn 3.07
In (0.5000, 0.5000, 0.5000)  6 Mn 2.87, 6 In 3.07

## Properties
Formation energy from the elements: 352 kJ/mol of formula units
Magnetic moment: 7.71 μB per cell

***

## KBaSiRu2 (PBEsol)

Data for a geometry-optimized KBaSiRu2 structure.

a b c (Å): 4.9738 4.9738 5.5974
angles (deg): 90.00 90.00 90.00
Last column: nearest neighbours and their distance in Å.
Fractional coordinates of all 5 atoms:
K (0.0000, 0.0000, 0.0000)  2 Ba 2.80
Ba (0.0000, 0.0000, 0.5000)  4 Ru 2.49
Si (0.5000, 0.5000, 0.0000)  4 K 3.52, 8 Ru 3.74
Ru (0.0000, 0.5000, 0.5000)  2 Ba 2.49
Ru (0.5000, 0.0000, 0.5000)  2 Ba 2.49

## Properties
Magnetic moment: 0.33 μB per cell
Formation energy without anion corrections: 1074 kJ/mol of formula units

***

## MgCd2Ag (PBEsol)

Data for a geometry-optimized MgCd2Ag structure.

a b c (Å): 4.1458 4.2441 4.3441
angles (deg): 90.00 90.00 90.00
Last column: nearest neighbours and their distance in Å.
Fractional coordinates of all 4 atoms:
Mg (0.0000, 0.0000, 0.0000)  4 Ag 2.97, 8 Cd 3.00-3.04
Cd (0.0000, 0.5000, 0.5000)  4 Cd 2.97, 4 Ag 3.00, 4 Mg 3.04
Cd (0.5000, 0.0000, 0.5000)  4 Cd 2.97, 4 Mg 3.00, 4 Ag 3.04
Ag (0.5000, 0.5000, 0.0000)  4 Mg 2.97, 8 Cd 3.00-3.04

## Properties
Formation energy from the elements: -44 kJ/mol of formula units
E above lowest polymorph: 5 meV per atom
Magnetic moment: 0.00 μB per cell

***

## Y2HgBr (PBEsol)

Data for a geometry-optimized Y2HgBr structure.

a b c (Å): 3.6799 4.7471 6.0203
angles (deg): 90.00 90.00 90.00
Last column: nearest neighbours and their distance in Å.
Fractional coordinates of all 4 atoms:
Y (0.0000, 0.0000, 0.0000)  4 Br 3.00
Y (0.5000, 0.0000, 0.5000)  4 Hg 3.00
Hg (0.0000, 0.5000, 0.5000)  4 Y 3.00
Br (0.5000, 0.5000, 0.0000)  4 Y 3.00

## Properties
E above lowest polymorph: 323 meV per atom
Magnetic moment: 0.00 μB per cell
Formation energy without anion corrections: -202 kJ/mol of formula units

***

## ScZnIO2 (PBEsol)

Data for a geometry-optimized ScZnIO2 structure.

a b c (Å): 4.0103 4.0103 5.0646
angles (deg): 90.00 90.00 90.00
Last column: nearest neighbours and their distance in Å.
Fractional coordinates of all 5 atoms:
Sc (0.0000, 0.0000, 0.0000)  4 I 2.84
Zn (0.5000, 0.5000, 0.5000)  4 O 2.01
I (0.5000, 0.5000, 0.0000)  2 Zn 2.53, 4 Sc 2.84
O (0.0000, 0.5000, 0.5000)  2 Zn 2.01
O (0.5000, 0.0000, 0.5000)  2 Zn 2.01

## Properties
Magnetic moment: 0.00 μB per cell
Formation energy without anion corrections: -255 kJ/mol of formula units